The following is a GGA-PBE calculation of a relaxed Fe3NiSb crystal, from Alexandria via LeMat-Bulk.

- total moment (μB/atom) = 1.803
- raw formation energy (eV per atom) = 1.568
- space group = Pm-3m (221)

Lattice parameters (Å, degrees): 4.718 4.718 4.718 90.00 90.00 90.00
Site moments in Bohr magnetons follow the coordinates.
Atoms (fractional coordinates):
Sb (0.000, 0.000, 0.000)  -0.04
Fe (0.000, 0.500, 0.000)  2.71
Fe (0.000, 0.000, 0.500)  2.84
Fe (0.500, 0.000, 0.000)  2.77
Ni (0.500, 0.500, 0.500)  0.93

The following is a GGA-PBE calculation of a relaxed Si2PSeS crystal, from Alexandria via LeMat-Bulk.

- total moment (μB/atom) = 0.000
- raw formation energy (eV per atom) = 0.923
- space group = P4/mmm (123)

Lattice parameters (Å, degrees): 4.819 4.454 4.819 90.00 90.00 90.00
Atoms (fractional coordinates):
P (0.000, 0.500, 0.000)
S (0.000, 0.000, 0.000)
Si (0.000, 0.000, 0.500)
Si (0.500, 0.000, 0.000)
Se (0.500, 0.500, 0.500)

The following is a GGA-PBE calculation of a relaxed Ac3Nd2S8 crystal, from Alexandria via LeMat-Bulk.

- total moment (μB/atom) = 0.029
- raw formation energy (eV per atom) = -1.837
- space group = C2/m (12)

Lattice parameters (Å, degrees): 7.239 8.554 8.448 120.41 108.79 90.00
Site moments in Bohr magnetons follow the coordinates.
Atoms (fractional coordinates):
Ac (0.500, 0.000, 0.000)  0.00
Ac (0.000, 0.266, 0.000)  0.00
Ac (0.000, 0.734, 0.000)  0.00
Nd (0.351, 0.268, 0.536)  0.00
Nd (0.649, 0.732, 0.464)  0.00
S (0.879, 0.615, 0.230)  0.05
S (0.121, 0.385, 0.770)  0.05
S (0.949, 0.121, 0.241)  0.04
S (0.051, 0.879, 0.759)  0.04
S (0.580, 0.640, 0.736)  0.01
S (0.580, 0.096, 0.736)  0.01
S (0.420, 0.904, 0.264)  0.01
S (0.420, 0.360, 0.264)  0.01

The following is a GGA-PBE calculation of a relaxed VSb3Cl9 crystal, from Alexandria via LeMat-Bulk.

- total moment (μB/atom) = 0.231
- raw formation energy (eV per atom) = -0.834
- space group = Cc (9)

Lattice parameters (Å, degrees): 10.777 10.892 10.440 76.61 58.93 60.35
Site moments in Bohr magnetons follow the coordinates.
Atoms (fractional coordinates):
V (0.114, 0.591, 0.911)  2.48
V (0.385, 0.091, 0.411)  2.48
Sb (0.665, 0.712, 0.878)  0.00
Sb (0.746, 0.212, 0.378)  0.00
Sb (0.097, 0.873, 0.604)  0.04
Sb (0.426, 0.373, 0.104)  0.04
Sb (0.508, 0.146, 0.664)  0.04
Sb (0.682, 0.646, 0.164)  0.04
Cl (0.610, 0.133, 0.206)  -0.01
Cl (0.050, 0.633, 0.706)  -0.01
Cl (0.391, 0.399, 0.785)  -0.01
Cl (0.425, 0.899, 0.285)  -0.01
Cl (0.127, 0.088, 0.612)  -0.01
Cl (0.172, 0.588, 0.112)  -0.01
Cl (0.844, 0.777, 0.076)  -0.01
Cl (0.303, 0.277, 0.576)  -0.01
Cl (0.555, 0.938, 0.529)  -0.01
Cl (0.978, 0.438, 0.029)  -0.01
Cl (0.375, 0.835, 0.995)  0.00
Cl (0.795, 0.335, 0.495)  0.00
Cl (0.412, 0.506, 0.271)  0.00
Cl (0.811, 0.006, 0.771)  0.00
Cl (0.695, 0.480, 0.857)  0.00
Cl (0.967, 0.980, 0.357)  0.00
Cl (0.202, 0.779, 0.790)  -0.01
Cl (0.229, 0.279, 0.290)  -0.01

The following is a GGA-PBE calculation of a relaxed ThMgGa3 crystal, from Alexandria via LeMat-Bulk.

- total moment (μB/atom) = 0.000
- calculated formation energy (eV/atom) = -0.431
- space group = Cmcm (63)

Lattice parameters (Å, degrees): 4.215 4.217 12.412 90.00 99.78 90.00
Atoms (fractional coordinates):
Th (0.923, 0.750, 0.846)
Th (0.077, 0.250, 0.154)
Mg (0.204, 0.750, 0.409)
Mg (0.796, 0.250, 0.591)
Ga (0.627, 0.750, 0.254)
Ga (0.373, 0.250, 0.746)
Ga (0.526, 0.750, 0.051)
Ga (0.474, 0.250, 0.949)
Ga (0.684, 0.250, 0.369)
Ga (0.316, 0.750, 0.631)

The following is a GGA-PBE calculation of a relaxed LiCrSbI2 crystal, from Alexandria via LeMat-Bulk.

- total moment (μB/atom) = 0.494
- raw formation energy (eV per atom) = -0.003
- space group = P4/mmm (123)

Lattice parameters (Å, degrees): 5.746 5.746 5.147 90.00 90.00 90.00
Site moments in Bohr magnetons follow the coordinates.
Atoms (fractional coordinates):
I (0.000, 0.500, 0.000)  -0.06
I (0.500, 0.000, 0.000)  -0.06
Sb (0.000, 0.000, 0.500)  -0.38
Li (0.500, 0.500, 0.500)  0.00
Cr (0.000, 0.000, 0.000)  3.22

Please write out number 5 again, unchanged.
The following is a GGA-PBE calculation of a relaxed ThMgGa3 crystal, from Alexandria via LeMat-Bulk.

- total moment (μB/atom) = 0.000
- calculated formation energy (eV/atom) = -0.431
- space group = Cmcm (63)

Lattice parameters (Å, degrees): 4.215 4.217 12.412 90.00 99.78 90.00
Atoms (fractional coordinates):
Th (0.923, 0.750, 0.846)
Th (0.077, 0.250, 0.154)
Mg (0.204, 0.750, 0.409)
Mg (0.796, 0.250, 0.591)
Ga (0.627, 0.750, 0.254)
Ga (0.373, 0.250, 0.746)
Ga (0.526, 0.750, 0.051)
Ga (0.474, 0.250, 0.949)
Ga (0.684, 0.250, 0.369)
Ga (0.316, 0.750, 0.631)

Please write out number 5 again, unchanged.
The following is a GGA-PBE calculation of a relaxed ThMgGa3 crystal, from Alexandria via LeMat-Bulk.

- total moment (μB/atom) = 0.000
- calculated formation energy (eV/atom) = -0.431
- space group = Cmcm (63)

Lattice parameters (Å, degrees): 4.215 4.217 12.412 90.00 99.78 90.00
Atoms (fractional coordinates):
Th (0.923, 0.750, 0.846)
Th (0.077, 0.250, 0.154)
Mg (0.204, 0.750, 0.409)
Mg (0.796, 0.250, 0.591)
Ga (0.627, 0.750, 0.254)
Ga (0.373, 0.250, 0.746)
Ga (0.526, 0.750, 0.051)
Ga (0.474, 0.250, 0.949)
Ga (0.684, 0.250, 0.369)
Ga (0.316, 0.750, 0.631)